{
  "formula": "BaOsO3",
  "functional": "PBE",
  "state": "relaxed",
  "total_energy_ev_per_cell": -144.336,
  "lattice_angstrom": [[5.699, 0.000, 0.000], [0.000, 5.700, 0.000], [0.000, 0.000, 8.084]],
  "species": ["O", "O", "O", "Ba", "Os", "Ba", "Os", "O", "O", "O", "O", "Os", "O", "O", "Os", "O", "O", "O", "Ba", "Ba"],
  "fractional_positions": [[0.489, 0.002, 0.250], [0.747, 0.253, 0.005], [0.753, 0.753, 0.495], [0.000, 0.001, 0.250], [0.500, 0.000, 0.500], [0.500, 0.501, 0.250], [0.000, 0.500, 0.000], [0.011, 0.502, 0.250], [0.753, 0.753, 0.005], [0.989, 0.498, 0.750], [0.253, 0.747, 0.995], [0.000, 0.500, 0.500], [0.747, 0.253, 0.495], [0.511, 0.998, 0.750], [0.500, 0.000, 0.000], [0.253, 0.747, 0.505], [0.247, 0.247, 0.505], [0.247, 0.247, 0.995], [0.000, 0.999, 0.750], [0.500, 0.499, 0.750]]
}